18
Lattice="-4.120 6.214 -1.181 -3.571 -3.906 -8.089 -0.288 -3.347 7.519" Properties=species:S:1:pos:R:3 comment="PBE-GGA AcAlCdAu6, relaxed" space_group=Imma pbc="T T T"
Ac -4.790 1.156 -1.331
Ac -3.190 -2.195 -0.420
Al -3.846 1.154 -4.635
Al -2.060 3.107 -0.591
Cd -2.204 1.433 3.169
Cd -0.144 -1.673 3.759
Au -5.274 -0.106 -6.284
Au -5.089 2.003 4.167
Au -4.372 4.369 -0.314
Au -3.610 -1.209 -3.463
Au -1.908 0.653 0.392
Au -6.074 2.507 -4.169
Au -2.706 -0.932 4.532
Au -2.891 -3.042 -5.918
Au -3.608 -5.407 -1.437
Au -4.369 0.170 1.712
Au -6.072 -1.691 -2.143
Au -1.906 -3.546 2.418

6
Lattice="-3.841 0.224 -2.377 0.919 -3.675 2.471 -3.524 3.149 5.992" Properties=species:S:1:pos:R:3 comment="PBE-GGA AcAl2CdAu2, relaxed" space_group=P-3m1 pbc="T T T"
Ac 0.000 0.000 0.000
Al -4.693 1.103 3.386
Al -1.753 -1.405 2.701
Cd -1.762 1.574 2.996
Au -3.296 -0.145 1.010
Au -3.150 -0.157 5.076

Number 1: DFT total energy -3.449 eV per atom, energy of formation -0.2900 eV per atom. Number 2: DFT total energy -3.714 eV per atom, energy of formation -0.5365 eV per atom.